Computed, not measured: Cd5Co3 after structural relaxation at the PBE-GGA level of DFT.

Cell and atoms, written as POSCAR:
```
Cd5Co3
1.0
7.798 0.000 0.000
-3.899 6.754 0.000
0.000 0.000 5.303
Cd Co
10 6
Cartesian
-0.934 1.617 1.326
-2.966 5.136 3.977
1.867 0.000 1.326
0.934 1.617 3.977
0.000 4.502 0.000
0.000 4.502 2.652
3.899 2.251 0.000
3.899 2.251 2.652
5.931 0.000 3.977
2.966 5.136 1.326
-1.587 2.748 3.977
-2.313 4.005 1.326
3.173 0.000 3.977
1.587 2.748 1.326
4.625 0.000 1.326
2.313 4.005 3.977
```

As for the symmetry: P6_3/mcm (193). As for the total magnetic moment: 3.94 μB/f.u. The value obtained for the volume is 17.46 A^3/atom. The relative energy among the computed polymorphs is 0.1218 eV per atom. As for the energy of formation from the pure elements: 37 kJ per mole of atoms.

=====

Computed, not measured: Cd4Co after structural relaxation at the PBE-GGA level of DFT.

Cell and atoms, written as POSCAR:
```
Cd4Co
1.0
-3.939 3.939 1.560
3.939 -3.939 1.560
3.939 3.939 -1.560
Cd Co
4 1
Cartesian
2.148 0.559 0.000
3.379 -1.791 1.560
0.559 5.730 0.000
1.791 3.379 1.560
0.000 0.000 1.560
```

As for the symmetry: I4/m (87). As for the total magnetic moment: 0.93 μB/f.u. The value obtained for the volume is 19.36 A^3/atom. As for the energy of formation from the pure elements: 15 kJ per mole of atoms.

=====

Computed, not measured: Cd3Co after structural relaxation at the PBE-GGA level of DFT.

Cell and atoms, written as POSCAR:
```
Cd3Co
1.0
4.706 2.717 0.967
-4.706 2.717 0.967
0.000 -5.434 0.967
Cd Co
3 1
Cartesian
-2.353 -1.358 0.967
-2.353 1.358 1.935
0.000 2.717 0.967
0.000 0.000 0.000
```

As for the symmetry: R-3m (166). As for the total magnetic moment: 1.43 μB/f.u. The value obtained for the volume is 18.55 A^3/atom. As for the energy of formation from the pure elements: 30 kJ per mole of atoms.

=====

Computed, not measured: Cd2Co after structural relaxation at the PBE-GGA level of DFT.

Cell and atoms, written as POSCAR:
```
Cd2Co
1.0
4.989 -1.480 0.000
4.989 1.480 0.000
-1.124 0.000 7.594
Cd Co
4 2
Cartesian
0.000 0.000 0.000
0.118 0.000 3.463
2.789 0.000 1.531
6.106 0.000 6.136
3.358 0.000 5.263
7.427 0.000 3.759
```

As for the symmetry: Cm (8). As for the total magnetic moment: 1.49 μB/f.u. The value obtained for the volume is 18.69 A^3/atom. As for the energy of formation from the pure elements: 22 kJ per mole of atoms.

=====

Computed, not measured: CdCo2 after structural relaxation at the PBE-GGA level of DFT.

Cell and atoms, written as POSCAR:
```
CdCo2
1.0
-1.815 1.815 7.057
1.815 -1.815 7.057
1.815 1.815 -7.057
Cd Co
2 4
Cartesian
1.815 0.907 1.764
0.000 0.907 5.293
1.815 -0.907 4.161
1.815 -0.907 6.425
0.000 2.722 0.632
0.000 2.722 2.896
```

As for the symmetry: I4_1/amd (141). As for the total magnetic moment: 2.94 μB/f.u. The value obtained for the volume is 15.49 A^3/atom. As for the energy of formation from the pure elements: 49 kJ per mole of atoms.

=====

Computed, not measured: Cd2Co after structural relaxation at the PBE-GGA level of DFT.

Cell and atoms, written as POSCAR:
```
Cd2Co
1.0
0.000 3.112 3.112
3.112 0.000 3.112
3.112 3.112 0.000
Cd Co
2 1
Cartesian
1.556 1.556 1.556
4.667 4.667 4.667
0.000 0.000 0.000
```

As for the symmetry: Fm-3m (225). As for the total magnetic moment: 0.99 μB/f.u. The value obtained for the volume is 20.09 A^3/atom. As for the energy of formation from the pure elements: 43 kJ per mole of atoms.

=====

Computed, not measured: Cd2Co after structural relaxation at the PBE-GGA level of DFT.

Cell and atoms, written as POSCAR:
```
Cd2Co
1.0
4.624 0.000 0.000
-2.312 4.005 0.000
0.000 0.000 5.644
Cd Co
4 2
Cartesian
0.000 0.000 0.000
0.000 0.000 2.822
0.000 2.670 1.411
2.312 1.335 4.233
0.000 2.670 4.233
2.312 1.335 1.411
```

As for the symmetry: P6_3/mmc (194). As for the total magnetic moment: 1.27 μB/f.u. The value obtained for the volume is 17.42 A^3/atom. As for the energy of formation from the pure elements: 33 kJ per mole of atoms.

=====

Computed, not measured: Cd3Co4 after structural relaxation at the PBE-GGA level of DFT.

Cell and atoms, written as POSCAR:
```
Cd3Co4
1.0
-1.449 1.449 12.578
1.449 -1.449 12.578
1.449 1.449 -12.578
Cd Co
3 4
Cartesian
0.000 0.000 0.000
0.000 0.000 7.534
0.000 0.000 17.622
0.000 0.000 3.133
0.000 0.000 10.659
0.000 0.000 14.497
0.000 0.000 22.023
```

As for the symmetry: I4/mmm (139). As for the total magnetic moment: 6.39 μB/f.u. The value obtained for the volume is 15.10 A^3/atom. As for the energy of formation from the pure elements: 18 kJ per mole of atoms.

=====

Computed, not measured: Cd3Co after structural relaxation at the PBE-GGA level of DFT.

Cell and atoms, written as POSCAR:
```
Cd3Co
1.0
7.348 0.000 0.000
0.000 8.061 0.000
0.000 0.000 5.247
Cd Co
12 4
Cartesian
0.168 2.015 0.517
1.273 0.464 3.227
1.273 3.566 3.227
2.401 4.495 0.604
2.401 7.597 0.604
3.506 6.046 3.141
3.842 2.015 2.106
4.947 0.464 4.643
4.947 3.566 4.643
6.075 4.495 2.020
6.075 7.597 2.020
7.180 6.046 4.730
0.935 6.046 2.208
2.739 2.015 4.832
4.609 6.046 0.415
6.412 2.015 3.039
```

As for the symmetry: Pnma (62). As for the total magnetic moment: 0.00 μB/f.u. The value obtained for the volume is 19.43 A^3/atom. As for the energy of formation from the pure elements: 21 kJ per mole of atoms.

=====

Computed, not measured: Cd3Co5 after structural relaxation at the PBE-GGA level of DFT.

Cell and atoms, written as POSCAR:
```
Cd3Co5
1.0
8.003 0.000 0.000
-4.002 6.931 0.000
0.000 0.000 4.500
Cd Co
6 10
Cartesian
-1.545 2.677 1.125
-2.456 4.254 3.375
3.091 0.000 1.125
1.545 2.677 3.375
4.913 0.000 3.375
2.456 4.254 1.125
-0.677 1.172 3.375
-3.325 5.759 1.125
1.354 0.000 3.375
0.677 1.172 1.125
0.000 4.621 0.000
0.000 4.621 2.250
4.002 2.310 0.000
4.002 2.310 2.250
6.650 0.000 1.125
3.325 5.759 3.375
```

As for the symmetry: P6_3/mcm (193). As for the total magnetic moment: 7.79 μB/f.u. The value obtained for the volume is 15.60 A^3/atom. The relative energy among the computed polymorphs is 0.1352 eV per atom. As for the energy of formation from the pure elements: 46 kJ per mole of atoms.

=====

Computed, not measured: Cd3Co after structural relaxation at the PBE-GGA level of DFT.

Cell and atoms, written as POSCAR:
```
Cd3Co
1.0
2.983 0.000 0.000
0.000 4.712 0.000
0.000 0.000 5.263
Cd Co
3 1
Cartesian
0.000 0.000 0.000
0.000 2.356 1.766
1.491 0.000 2.795
1.491 2.356 4.432
```

As for the symmetry: Pmm2 (25). As for the total magnetic moment: 1.39 μB/f.u. The value obtained for the volume is 18.49 A^3/atom. As for the energy of formation from the pure elements: 25 kJ per mole of atoms.

=====

Computed, not measured: Cd2Co after structural relaxation at the PBE-GGA level of DFT.

Cell and atoms, written as POSCAR:
```
Cd2Co
1.0
1.465 -7.445 0.000
1.465 7.445 0.000
0.000 0.000 4.753
Cd Co
4 2
Cartesian
1.465 6.642 3.565
1.465 3.365 1.188
1.465 -3.365 3.565
1.465 -6.642 1.188
1.465 1.663 3.565
1.465 -1.663 1.188
```

As for the symmetry: Cmcm (63). As for the total magnetic moment: 1.09 μB/f.u. The value obtained for the volume is 17.28 A^3/atom. As for the energy of formation from the pure elements: 32 kJ per mole of atoms.

=====

Computed, not measured: CdCo3 after structural relaxation at the PBE-GGA level of DFT.

Cell and atoms, written as POSCAR:
```
CdCo3
1.0
4.144 0.000 0.000
0.000 5.239 0.000
0.000 0.000 4.960
Cd Co
2 6
Cartesian
1.036 1.310 0.597
3.108 3.930 4.363
1.036 0.031 3.115
1.036 2.589 3.115
1.036 3.930 1.162
3.108 1.310 3.798
3.108 2.651 1.845
3.108 5.208 1.845
```

As for the symmetry: Pmmn (59). As for the total magnetic moment: 4.77 μB/f.u. The value obtained for the volume is 13.46 A^3/atom. As for the energy of formation from the pure elements: 27 kJ per mole of atoms.

=====

Computed, not measured: Cd3Co after structural relaxation at the PBE-GGA level of DFT.

Cell and atoms, written as POSCAR:
```
Cd3Co
1.0
4.700 0.000 0.000
0.000 5.826 0.000
0.000 0.000 5.312
Cd Co
6 2
Cartesian
1.175 0.006 0.869
1.175 2.907 0.869
1.175 4.370 3.378
3.525 1.457 1.934
3.525 2.919 4.443
3.525 5.820 4.443
1.175 1.457 3.527
3.525 4.370 1.785
```

As for the symmetry: Pmmn (59). As for the total magnetic moment: 0.83 μB/f.u. The value obtained for the volume is 18.18 A^3/atom. As for the energy of formation from the pure elements: 24 kJ per mole of atoms.

=====

Computed, not measured: Cd4Co after structural relaxation at the PBE-GGA level of DFT.

Cell and atoms, written as POSCAR:
```
Cd4Co
1.0
-1.929 1.929 7.384
1.929 -1.929 7.384
1.929 1.929 -7.384
Cd Co
4 1
Cartesian
0.000 0.000 1.339
1.929 0.000 3.692
0.000 1.929 3.692
0.000 0.000 13.429
0.000 0.000 7.384
```

As for the symmetry: I4/mmm (139). As for the total magnetic moment: 1.53 μB/f.u. The value obtained for the volume is 21.98 A^3/atom. As for the energy of formation from the pure elements: 50 kJ per mole of atoms.

=====

Computed, not measured: Cd2Co3 after structural relaxation at the PBE-GGA level of DFT.

Cell and atoms, written as POSCAR:
```
Cd2Co3
1.0
1.392 0.804 11.039
-1.392 0.804 11.039
0.000 -1.607 11.039
Cd Co
2 3
Cartesian
0.000 0.000 3.230
0.000 0.000 29.887
0.000 0.000 10.153
0.000 0.000 16.558
0.000 0.000 22.963
```

As for the symmetry: R-3m (166). As for the total magnetic moment: 4.78 μB/f.u. The value obtained for the volume is 14.82 A^3/atom. As for the energy of formation from the pure elements: 36 kJ per mole of atoms.

=====

Computed, not measured: CdCo3 after structural relaxation at the PBE-GGA level of DFT.

Cell and atoms, written as POSCAR:
```
CdCo3
1.0
2.683 0.000 0.000
-1.342 2.324 0.000
0.000 0.000 8.567
Cd Co
1 3
Cartesian
0.000 0.000 0.000
0.000 0.000 4.283
0.000 1.549 2.397
0.000 1.549 6.170
```

As for the symmetry: P-6m2 (187). As for the total magnetic moment: 4.89 μB/f.u. The value obtained for the volume is 13.35 A^3/atom. As for the energy of formation from the pure elements: 28 kJ per mole of atoms.

=====

Computed, not measured: Cd5Co after structural relaxation at the PBE-GGA level of DFT.

Cell and atoms, written as POSCAR:
```
Cd5Co
1.0
4.792 0.000 0.000
0.000 1.501 8.283
0.000 -1.501 8.283
Cd Co
5 1
Cartesian
0.000 0.000 0.000
0.000 0.000 4.908
2.396 0.000 1.684
2.396 0.000 7.003
2.396 0.000 12.464
0.000 0.000 10.731
```

As for the symmetry: Amm2 (38). As for the total magnetic moment: 1.21 μB/f.u. The value obtained for the volume is 19.87 A^3/atom. The relative energy among the computed polymorphs is 0.0168 eV per atom. As for the energy of formation from the pure elements: 17 kJ per mole of atoms.

=====

Computed, not measured: Cd3Co after structural relaxation at the PBE-GGA level of DFT.

Cell and atoms, written as POSCAR:
```
Cd3Co
1.0
-1.505 4.772 2.588
1.505 -4.772 2.588
1.505 4.772 -2.588
Cd Co
3 1
Cartesian
0.000 0.000 0.000
1.505 2.627 0.552
0.000 2.145 3.141
1.505 0.000 2.338
```

As for the symmetry: Imm2 (44). As for the total magnetic moment: 1.14 μB/f.u. The value obtained for the volume is 18.60 A^3/atom. As for the energy of formation from the pure elements: 23 kJ per mole of atoms.

=====

Computed, not measured: CdCo3 after structural relaxation at the PBE-GGA level of DFT.

Cell and atoms, written as POSCAR:
```
CdCo3
1.0
4.326 -1.352 0.000
4.326 1.352 0.000
-1.015 0.000 4.557
Cd Co
1 3
Cartesian
0.000 0.000 0.000
1.318 0.000 3.215
3.819 0.000 2.279
6.320 0.000 1.342
```

As for the symmetry: C2/m (12). As for the total magnetic moment: 4.71 μB/f.u. The value obtained for the volume is 13.33 A^3/atom. As for the energy of formation from the pure elements: 29 kJ per mole of atoms.